The following is a DFT calculation (PBE) of a relaxed structure of YVZn2Sb.

The structure in POSCAR format:
```
YVZn2Sb
1.0
5.2677 0.0000 0.0000
0.0000 5.2677 0.0000
0.0000 0.0000 5.6514
Y V Zn Sb
1 1 2 1
direct
0.0000 0.0000 0.0000 Y
0.5000 0.5000 0.5000 V
0.0000 0.5000 0.0000 Zn
0.5000 0.0000 0.0000 Zn
0.0000 0.0000 0.5000 Sb
```

Computed properties:
Magnetization in Bohr magnetons per cell: 0.1
Space group: P4/mmm (123)
Formation energy from raw total energies in eV per atom: 1.306
Density in g/cm3: 4.155
DOS(E_F) in states/eV per cell: 8.2